VASP calculation (PBE-GGA) on La3S3N after structural relaxation.

Formation energy without anion corrections in meV per atom: -2057
Calculated volume in Å³ per cell: 680.7
SG: Pnma, No. 62
Total magnetization in μB/cell: 0.00
DFT total energy in eV/atom: -7.13
Crystal system: orthorhombic

abc: 4.155 12.349 13.266
angles: 90.00 90.00 90.00
Element x y z (fractional)
N 0.250 0.551 0.298
N 0.750 0.449 0.702
N 0.750 0.949 0.798
N 0.250 0.051 0.202
S 0.250 0.769 0.702
S 0.250 0.359 0.501
S 0.250 0.077 0.608
S 0.750 0.423 0.108
S 0.750 0.231 0.298
S 0.750 0.923 0.392
S 0.250 0.859 0.999
S 0.250 0.577 0.892
S 0.750 0.731 0.202
S 0.250 0.269 0.798
S 0.750 0.141 0.001
S 0.750 0.641 0.499
La 0.750 0.275 0.631
La 0.750 0.911 0.626
La 0.250 0.538 0.652
La 0.750 0.462 0.348
La 0.750 0.411 0.874
La 0.250 0.589 0.126
La 0.250 0.038 0.848
La 0.250 0.725 0.369
La 0.750 0.775 0.869
La 0.750 0.962 0.152
La 0.250 0.089 0.374
La 0.250 0.225 0.131

=====

VASP calculation (PBE-GGA) on La5S5N2 after structural relaxation.

Formation energy without anion corrections in meV per atom: -1836
Calculated volume in Å³ per cell: 284.9
SG: C2/m, No. 12
Total magnetization in μB/cell: 0.52
DFT total energy in eV/atom: -7.00
Crystal system: monoclinic

abc: 4.029 6.982 11.131
angles: 107.33 90.00 106.77
Site moments in Bohr magnetons follow the coordinates.
Element x y z (fractional)
La 0.898 0.795 0.616  -0.02
La 0.656 0.311 0.795  -0.01
La 0.000 0.000 0.000  0.00
La 0.102 0.205 0.384  -0.02
La 0.344 0.689 0.205  -0.01
S 0.251 0.502 0.644  -0.04
S 0.663 0.326 0.062  -0.03
S 0.500 0.000 0.500  -0.01
S 0.749 0.498 0.356  -0.04
S 0.337 0.674 0.938  -0.03
N 0.958 0.915 0.207  -0.08
N 0.042 0.085 0.793  -0.08

=====

VASP calculation (PBE-GGA) on La12S3N5 after structural relaxation.

Formation energy without anion corrections in meV per atom: -1134
Calculated volume in Å³ per cell: 2040.8
SG: Ia-3d, No. 230
Total magnetization in μB/cell: 9.97
DFT total energy in eV/atom: -6.79
Crystal system: cubic

abc: 13.840 13.840 13.840
angles: 109.47 109.47 109.47
Site moments in Bohr magnetons follow the coordinates.
Element x y z (fractional)
N 0.500 0.500 0.000  0.01
N 0.875 0.625 0.750  0.00
N 0.500 0.000 0.000  0.01
N 0.375 0.125 0.750  0.00
N 0.000 0.500 0.500  0.01
N 0.750 0.125 0.875  0.00
N 0.750 0.625 0.375  0.00
N 0.250 0.875 0.125  0.00
N 0.000 0.500 0.000  0.01
N 0.500 0.500 0.500  0.01
N 0.875 0.250 0.625  0.00
N 0.375 0.250 0.125  0.00
N 0.625 0.750 0.875  0.00
N 0.125 0.750 0.375  0.00
N 0.000 0.000 0.000  0.01
N 0.125 0.375 0.250  0.00
N 0.250 0.375 0.625  0.00
N 0.000 0.000 0.500  0.01
N 0.625 0.875 0.250  0.00
N 0.500 0.000 0.500  0.01
La 0.204 0.683 0.087  0.08
La 0.683 0.204 0.587  0.08
La 0.904 0.087 0.883  0.08
La 0.521 0.204 0.117  0.08
La 0.704 0.117 0.021  0.08
La 0.096 0.913 0.117  0.08
La 0.183 0.096 0.979  0.08
La 0.883 0.587 0.904  0.08
La 0.683 0.479 0.596  0.08
La 0.596 0.979 0.683  0.08
La 0.087 0.904 0.383  0.08
La 0.913 0.817 0.796  0.08
La 0.817 0.913 0.296  0.08
La 0.117 0.704 0.521  0.08
La 0.596 0.617 0.413  0.08
La 0.087 0.183 0.204  0.08
La 0.479 0.683 0.096  0.08
La 0.183 0.087 0.704  0.08
La 0.117 0.413 0.096  0.08
La 0.796 0.479 0.383  0.08
La 0.521 0.317 0.904  0.08
La 0.413 0.296 0.317  0.08
La 0.383 0.404 0.087  0.08
La 0.479 0.796 0.883  0.08
La 0.587 0.704 0.683  0.08
La 0.587 0.883 0.404  0.08
La 0.704 0.587 0.183  0.08
La 0.617 0.596 0.913  0.08
La 0.979 0.596 0.183  0.08
La 0.883 0.296 0.479  0.08
La 0.817 0.904 0.021  0.08
La 0.404 0.383 0.587  0.08
La 0.317 0.796 0.413  0.08
La 0.021 0.617 0.704  0.08
La 0.317 0.521 0.404  0.08
La 0.413 0.117 0.596  0.08
La 0.021 0.404 0.817  0.08
La 0.204 0.521 0.617  0.08
La 0.979 0.383 0.296  0.08
La 0.296 0.883 0.979  0.08
La 0.096 0.183 0.479  0.08
La 0.796 0.317 0.913  0.08
La 0.296 0.413 0.817  0.08
La 0.913 0.096 0.617  0.08
La 0.904 0.817 0.521  0.08
La 0.404 0.021 0.317  0.08
La 0.383 0.979 0.796  0.08
La 0.617 0.021 0.204  0.08
S 0.125 0.875 0.750  0.01
S 0.750 0.875 0.625  0.01
S 0.875 0.750 0.125  0.01
S 0.250 0.625 0.875  0.01
S 0.375 0.750 0.625  0.01
S 0.625 0.250 0.375  0.01
S 0.750 0.375 0.125  0.01
S 0.625 0.375 0.750  0.01
S 0.375 0.625 0.250  0.01
S 0.250 0.125 0.375  0.01
S 0.125 0.250 0.875  0.01
S 0.875 0.125 0.250  0.01

=====

VASP calculation (PBE-GGA) on La4SN2 after structural relaxation.

Formation energy without anion corrections in meV per atom: -1341
Calculated volume in Å³ per cell: 168.1
SG: C2/m, No. 12
Total magnetization in μB/cell: 0.00
DFT total energy in eV/atom: -7.13
Crystal system: monoclinic

abc: 3.734 6.543 7.798
angles: 113.91 103.85 90.00
Element x y z (fractional)
La 0.645 0.313 0.290
La 0.852 0.185 0.703
La 0.355 0.687 0.710
La 0.148 0.815 0.297
N 0.254 0.260 0.508
N 0.746 0.740 0.492
S 0.000 0.000 0.000